ErAgTe | Alexandria | PBE-GGA | optimized geometry; raw total energy = -25.78 eV per cell; formation energy from raw total energies = -18.0 kcal/mol of atoms; D(E_F) = 1.2 states/eV/f.u.
1.0
3.992 0.000 0.000
0.000 3.992 0.000
0.000 0.000 9.661
Er Ag Te
2 2 2
Direct
0.250 0.250 0.244
0.750 0.750 0.756
0.250 0.250 0.946
0.750 0.750 0.054
0.250 0.250 0.641
0.750 0.750 0.359

***

LiTe | Alexandria | PBE-GGA | optimized geometry; raw total energy = -37.54 eV per cell; relative energy among the computed polymorphs = 121.4 meV per atom; formation energy from raw total energies = -13.8 kcal/mol of atoms; D(E_F) = 0.3 states/eV/f.u.
1.0
5.114 0.000 0.000
0.000 14.838 0.000
0.000 0.000 4.523
Li Te
6 6
Direct
0.250 0.137 0.249
0.250 0.363 0.249
0.250 0.750 0.108
0.750 0.250 0.892
0.750 0.637 0.751
0.750 0.863 0.751
0.250 0.250 0.730
0.250 0.541 0.097
0.250 0.959 0.097
0.750 0.041 0.903
0.750 0.459 0.903
0.750 0.750 0.270

***

TbZnPb2 | Alexandria | PBE-GGA | optimized geometry; raw total energy = -13.53 eV per cell; relative energy among the computed polymorphs = 216.5 meV per atom; ΔE_f = -0.0521 eV per atom; D(E_F) = 2.3 states/eV/f.u.
1.0
2.451 1.415 5.137
-2.451 1.415 5.137
0.000 -2.831 5.137
Tb Zn Pb
1 1 2
Direct
0.000 0.000 0.000
0.500 0.500 0.500
0.234 0.234 0.234
0.766 0.766 0.766

***

SrY2Ta | Alexandria | PBE-GGA | optimized geometry; raw total energy = -24.30 eV per cell; relative energy among the computed polymorphs = 181.6 meV per atom; ΔE_f = 0.5404 eV per atom; D(E_F) = 5.7 states/eV/f.u.
1.0
5.379 -1.662 0.000
5.379 1.662 0.000
-0.823 0.000 6.687
Sr Y Ta
1 2 1
Direct
0.000 0.000 0.000
0.234 0.234 0.706
0.766 0.766 0.294
0.500 0.500 0.500

***

CuOs2Cl | Alexandria | PBE-GGA | optimized geometry; raw total energy = -24.63 eV per cell; relative energy among the computed polymorphs = 593.5 meV per atom; formation energy from raw total energies = 21.7 kcal/mol of atoms; D(E_F) = 3.8 states/eV/f.u.
1.0
1.356 -2.425 0.000
1.356 2.425 0.000
0.000 0.000 8.894
Cu Os Cl
1 2 1
Direct
0.000 0.000 0.000
0.500 0.500 0.247
0.500 0.500 0.753
0.000 0.000 0.500

***

Ca2ScGe2 | Alexandria | PBE-GGA | optimized geometry; raw total energy = -45.12 eV per cell; ΔE_f = -0.5978 eV per atom; D(E_F) = 1.2 states/eV/f.u.
1.0
7.334 0.000 0.000
0.000 7.334 0.000
0.000 0.000 4.591
Ca Sc Ge
4 2 4
Direct
0.171 0.329 0.000
0.329 0.829 0.000
0.671 0.171 0.000
0.829 0.671 0.000
0.000 0.000 0.500
0.500 0.500 0.500
0.128 0.628 0.500
0.372 0.128 0.500
0.628 0.872 0.500
0.872 0.372 0.500

***

Rb3In5Cl12 | Alexandria | PBE-GGA | optimized geometry; raw total energy = -251.89 eV per cell; formation energy from raw total energies = -27.9 kcal/mol of atoms; D(E_F) = 11.1 states/eV/f.u.
1.0
-9.048 9.048 9.048
9.048 -9.048 9.048
9.048 9.048 -9.048
Rb In Cl
12 20 48
Direct
0.125 0.250 0.375
0.125 0.375 0.750
0.250 0.375 0.125
0.250 0.875 0.625
0.375 0.125 0.250
0.375 0.750 0.125
0.625 0.250 0.875
0.625 0.875 0.750
0.750 0.125 0.375
0.750 0.625 0.875
0.875 0.625 0.250
0.875 0.750 0.625
0.000 0.000 0.000
0.000 0.000 0.500
0.000 0.500 0.000
0.000 0.500 0.500
0.125 0.750 0.875
0.125 0.875 0.250
0.250 0.125 0.875
0.250 0.625 0.375
0.375 0.250 0.625
0.375 0.625 0.750
0.500 0.000 0.000
0.500 0.000 0.500
0.500 0.500 0.000
0.500 0.500 0.500
0.625 0.375 0.250
0.625 0.750 0.375
0.750 0.375 0.625
0.750 0.875 0.125
0.875 0.125 0.750
0.875 0.250 0.125
0.023 0.216 0.124
0.023 0.307 0.899
0.092 0.716 0.693
0.092 0.876 0.399
0.101 0.624 0.408
0.101 0.977 0.693
0.124 0.023 0.216
0.124 0.601 0.908
0.193 0.216 0.592
0.193 0.477 0.601
0.216 0.124 0.023
0.216 0.592 0.193
0.284 0.307 0.908
0.284 0.477 0.376
0.307 0.899 0.023
0.307 0.908 0.284
0.376 0.284 0.477
0.376 0.592 0.899
0.399 0.092 0.876
0.399 0.807 0.523
0.408 0.101 0.624
0.408 0.807 0.784
0.477 0.376 0.284
0.477 0.601 0.193
0.523 0.399 0.807
0.523 0.624 0.716
0.592 0.193 0.216
0.592 0.899 0.376
0.601 0.193 0.477
0.601 0.908 0.124
0.624 0.408 0.101
0.624 0.716 0.523
0.693 0.092 0.716
0.693 0.101 0.977
0.716 0.523 0.624
0.716 0.693 0.092
0.784 0.408 0.807
0.784 0.876 0.977
0.807 0.523 0.399
0.807 0.784 0.408
0.876 0.399 0.092
0.876 0.977 0.784
0.899 0.023 0.307
0.899 0.376 0.592
0.908 0.124 0.601
0.908 0.284 0.307
0.977 0.693 0.101
0.977 0.784 0.876

***

LaNd2Er3Se6 | Alexandria | PBE-GGA | optimized geometry; raw total energy = -70.69 eV per cell; formation energy from raw total energies = -41.6 kcal/mol of atoms; D(E_F) = 5.0 states/eV/f.u.
1.0
9.122 -2.042 0.000
9.122 2.042 0.000
-2.263 0.000 8.131
La Nd Er Se
1 2 3 6
Direct
0.000 0.000 0.000
0.332 0.332 0.665
0.668 0.668 0.335
0.000 0.000 0.500
0.334 0.334 0.167
0.666 0.666 0.833
0.162 0.162 0.595
0.172 0.172 0.074
0.497 0.497 0.264
0.503 0.503 0.736
0.828 0.828 0.926
0.838 0.838 0.405

***

Y2MnAu | Alexandria | PBE-GGA | optimized geometry; raw total energy = -48.21 eV per cell; relative energy among the computed polymorphs = 645.7 meV per atom; ΔE_f = 0.3180 eV per atom; D(E_F) = 3.9 states/eV/f.u.
1.0
-2.290 2.290 9.861
2.290 -2.290 9.861
2.290 2.290 -9.861
Y Mn Au
4 2 2
Direct
0.122 0.625 0.997
0.375 0.372 0.497
0.628 0.125 0.003
0.875 0.878 0.503
0.250 0.750 0.500
0.500 0.500 0.000
0.000 0.000 0.000
0.750 0.250 0.500

***

PmPuPb | Alexandria | PBE-GGA | optimized geometry; raw total energy = -45.94 eV per cell; relative energy among the computed polymorphs = 249.7 meV per atom; ΔE_f = -0.0593 eV per atom; D(E_F) = 10.0 states/eV/f.u.
1.0
6.172 0.000 0.000
0.000 3.429 0.000
0.000 0.000 8.475
Pm Pu Pb
2 2 2
Direct
0.000 0.000 0.000
0.500 0.000 0.000
0.250 0.000 0.376
0.750 0.000 0.624
0.250 0.500 0.709
0.750 0.500 0.291

***

TmNiAgPb | Alexandria | PBE-GGA | optimized geometry; raw total energy = -17.56 eV per cell; ΔE_f = -0.1876 eV per atom; D(E_F) = 3.0 states/eV/f.u.
1.0
0.000 3.415 3.415
3.415 0.000 3.415
3.415 3.415 0.000
Tm Ni Ag Pb
1 1 1 1
Direct
0.000 0.000 0.000
0.750 0.750 0.750
0.250 0.250 0.250
0.500 0.500 0.500

***

Tb2Ni3Ge4 | Alexandria | PBE-GGA | optimized geometry; raw total energy = -101.47 eV per cell; ΔE_f = -0.6291 eV per atom; D(E_F) = 5.5 states/eV/f.u.
1.0
2.794 -7.278 0.000
2.794 7.278 0.000
0.000 0.000 7.276
Tb Ni Ge
4 6 8
Direct
0.111 0.889 0.906
0.389 0.611 0.406
0.611 0.389 0.594
0.889 0.111 0.094
0.000 0.000 0.500
0.025 0.475 0.750
0.475 0.025 0.250
0.500 0.500 0.000
0.525 0.975 0.750
0.975 0.525 0.250
0.184 0.816 0.524
0.191 0.309 0.750
0.309 0.191 0.250
0.316 0.684 0.024
0.684 0.316 0.976
0.691 0.809 0.750
0.809 0.691 0.250
0.816 0.184 0.476